Here is a relaxed Cs2AgBr3 crystal from Alexandria. Energies are from PBE.

a = 4.8433 Å, b = 14.1082 Å, c = 14.5297 Å
α = 90.00°, β = 90.00°, γ = 90.00°
Fractional positions:
Cs1 0.2500 0.5095 0.3244
Cs2 0.7500 0.3261 0.0175
Cs3 0.2500 0.1739 0.5175
Cs4 0.2500 0.0095 0.1756
Cs5 0.7500 0.8261 0.4825
Cs6 0.7500 0.4905 0.6756
Cs7 0.2500 0.6739 0.9825
Cs8 0.7500 0.9905 0.8244
Br1 0.7500 0.8636 0.0509
Br2 0.7500 0.3636 0.4491
Br3 0.2500 0.2722 0.2128
Br4 0.2500 0.6364 0.5509
Br5 0.7500 0.7278 0.7872
Br6 0.2500 0.9408 0.6397
Br7 0.7500 0.0592 0.3603
Br8 0.2500 0.1364 0.9491
Br9 0.2500 0.7722 0.2872
Br10 0.7500 0.5592 0.1397
Br11 0.2500 0.4408 0.8603
Br12 0.7500 0.2278 0.7128
Ag1 0.2500 0.2563 0.8031
Ag2 0.2500 0.7563 0.6969
Ag3 0.7500 0.7437 0.1969
Ag4 0.7500 0.2437 0.3031

Symmetry   Pnma (62)
Volume   248.2 Å³/f.u.
Crystal system   orthorhombic
ΔE to the lowest computed polymorph   0 meV/atom
ΔE_f (raw)   -770 kJ/mol of formula units